No. 1
DFT (GGA-PBE) results for crystalline LiAl2Ru at its relaxed geometry.

Unit cell a=8.8839 b=8.8839 c=8.8839 alpha=18.33 beta=18.33 gamma=18.33
Last column: magnetic moment on the atom in μB.
Fractional coordinates of all 4 atoms:
Al 0.0056 0.0056 0.0056  0.00
Al 0.2513 0.2513 0.2513  0.00
Li 0.4967 0.4967 0.4967  0.00
Ru 0.7465 0.7465 0.7465  0.07

Values from the calculation:
ΔH_f (0 K) in eV per atom: -0.08
VASP energy in eV/atom: -4.746
Crystal system: trigonal

No. 2
DFT (GGA-PBE) results for crystalline MgSc5Cd4 at its relaxed geometry.

Unit cell a=3.5544 b=3.5544 c=17.6663 alpha=90.00 beta=90.00 gamma=90.00
Fractional coordinates of all 10 atoms:
Sc 0.5000 0.5000 0.1014
Sc 0.5000 0.5000 0.8986
Sc 0.5000 0.5000 0.5000
Sc 0.5000 0.5000 0.6991
Sc 0.5000 0.5000 0.3009
Cd 0.0000 0.0000 0.1993
Cd 0.0000 0.0000 0.8007
Cd 0.0000 0.0000 0.4007
Cd 0.0000 0.0000 0.5993
Mg 0.0000 0.0000 0.0000

Values from the calculation:
ΔH_f (0 K) in eV per atom: -0.24
VASP energy in eV/atom: -3.933
Crystal system: tetragonal

No. 3
DFT (GGA-PBE) results for crystalline La2MgZn2 at its relaxed geometry.

Unit cell a=3.6742 b=4.6486 c=8.0419 alpha=106.80 beta=90.00 gamma=90.00
Fractional coordinates of all 5 atoms:
La 0.5000 0.6272 0.2544
La 0.5000 0.3728 0.7456
Zn 0.0000 0.2028 0.4056
Zn 0.0000 0.7972 0.5944
Mg 0.0000 0.0000 0.0000

Values from the calculation:
ΔH_f (0 K) in eV per atom: -0.25
VASP energy in eV/atom: -3.052
Crystal system: orthorhombic

No. 4
DFT (GGA-PBE) results for crystalline LiLaY3 at its relaxed geometry.

Unit cell a=5.7265 b=5.7265 c=5.7265 alpha=90.00 beta=90.00 gamma=90.00
Fractional coordinates of all 5 atoms:
Li 0.5000 0.5000 0.5000
La 0.0000 0.0000 0.0000
Y 0.5000 0.0000 0.0000
Y 0.0000 0.5000 0.0000
Y 0.0000 0.0000 0.5000

Values from the calculation:
Relative energy among the computed polymorphs in meV/atom: 456.6
ΔH_f (0 K) in eV per atom: 0.79
VASP energy in eV/atom: -4.460
Crystal system: cubic

No. 5
DFT (GGA-PBE) results for crystalline Na2TiPd2O6 at its relaxed geometry.

Unit cell a=5.3195 b=5.3195 c=5.9365 alpha=101.23 beta=101.23 gamma=116.31
Last column: magnetic moment on the atom in μB.
Fractional coordinates of all 11 atoms:
O 0.0484 0.3727 0.7022  0.15
O 0.3727 0.0484 0.7022  0.15
O 0.9516 0.6273 0.2978  0.15
O 0.6273 0.9516 0.2978  0.15
O 0.2437 0.2437 0.3122  0.07
O 0.7563 0.7563 0.6878  0.07
Na 0.1772 0.8228 0.0000  0.00
Na 0.8228 0.1772 0.0000  0.00
Ti 0.0000 0.0000 0.5000  0.02
Pd 0.3337 0.6663 0.5000  0.56
Pd 0.6663 0.3337 0.5000  0.56

Values from the calculation:
ΔE_f (raw) in eV/atom: -1.404
VASP energy in eV/atom: -6.011
Crystal system: monoclinic

No. 6
DFT (GGA-PBE) results for crystalline BeCo2Mo at its relaxed geometry.

Unit cell a=2.5821 b=4.4847 c=4.8626 alpha=55.19 beta=90.00 gamma=90.00
Last column: magnetic moment on the atom in μB.
Fractional coordinates of all 4 atoms:
Co 0.5000 0.5000 0.0000  0.78
Co 0.0000 0.0000 0.0000  0.46
Mo 0.5000 0.5000 0.5000  0.02
Be 0.0000 0.0000 0.5000  -0.01

Values from the calculation:
ΔH_f (0 K) in eV per atom: 0.15
VASP energy in eV/atom: -7.040
Crystal system: monoclinic

> Which value of VASP energy does entry 1 give?

-4.746 eV/atom

> Among the records above, which one has the lowest VASP energy?

BeCo2Mo